Entry 1:
VASP calculation (PBE) on a relaxed Dy4Er9Zn11 crystal.

Computed properties:
space group: Cmmm
DOS at the Fermi energy: 1.027 states/eV per atom
E_form: -0.25 eV/atom
volume: 22.95 Å³ per atom

Unit cell a=3.4228 b=12.9977 c=12.9977 alpha=107.69 beta=90.00 gamma=90.00
With the nearest neighbours (Å) after each atom.
Element x y z (fractional)
Er (0.5000, 0.1490, 0.6225)  8 Zn 3.03-3.31, 1 Dy 3.27
Er (0.5000, 0.2048, 0.0206)  8 Zn 3.00-3.16, 1 Dy 3.35
Er (0.5000, 0.7952, 0.9794)  8 Zn 3.00-3.16, 1 Dy 3.35
Zn (0.0000, 0.5839, 0.9481)  1 Zn 2.89, 2 Dy 3.03, 6 Er 3.03-3.16
Er (0.5000, 0.0206, 0.2048)  8 Zn 3.00-3.16, 1 Dy 3.35
Zn (0.0000, 0.6308, 0.3692)  6 Er 3.23-3.31, 4 Dy 3.24, 2 Zn 3.42
Zn (0.0000, 0.3692, 0.6308)  6 Er 3.23-3.31, 4 Dy 3.24, 2 Zn 3.42
Zn (0.0000, 0.9481, 0.5839)  1 Zn 2.89, 2 Dy 3.03, 6 Er 3.03-3.16
Dy (0.5000, 0.2447, 0.4173)  6 Zn 3.03-3.24, 3 Er 3.16-3.35
Zn (0.0000, 0.4161, 0.0519)  1 Zn 2.89, 2 Dy 3.03, 6 Er 3.03-3.16
Er (0.5000, 0.8510, 0.3775)  8 Zn 3.03-3.31, 1 Dy 3.27
Er (0.5000, 0.3775, 0.8510)  8 Zn 3.03-3.31, 1 Dy 3.27
Er (0.5000, 0.5000, 0.5000)  4 Dy 3.16, 4 Zn 3.23, 2 Er 3.42
Dy (0.5000, 0.7553, 0.5827)  6 Zn 3.03-3.24, 3 Er 3.16-3.35
Dy (0.5000, 0.5827, 0.7553)  6 Zn 3.03-3.24, 3 Er 3.16-3.35
Zn (0.0000, 0.0000, 0.0000)  8 Er 3.11, 4 Zn 3.26-3.42
Zn (0.0000, 0.1769, 0.8231)  8 Er 3.01-3.05
Zn (0.0000, 0.8231, 0.1769)  8 Er 3.01-3.05
Er (0.5000, 0.9794, 0.7952)  8 Zn 3.00-3.16, 1 Dy 3.35
Zn (0.0000, 0.2129, 0.2129)  4 Er 3.00, 4 Dy 3.08, 1 Zn 3.26
Er (0.5000, 0.6225, 0.1490)  8 Zn 3.03-3.31, 1 Dy 3.27
Dy (0.5000, 0.4173, 0.2447)  6 Zn 3.03-3.24, 3 Er 3.16-3.35
Zn (0.0000, 0.7871, 0.7871)  4 Er 3.00, 4 Dy 3.08, 1 Zn 3.26
Zn (0.0000, 0.0519, 0.4161)  1 Zn 2.89, 2 Dy 3.03, 6 Er 3.03-3.16

=====

Entry 2:
VASP calculation (PBE) on a relaxed La2CrRuW crystal.

Computed properties:
space group: P4/mmm
DOS at the Fermi energy: 1.016 states/eV per atom
E_form: 1.20 eV/atom
volume: 27.78 Å³ per atom

Unit cell a=5.4836 b=4.6199 c=5.4836 alpha=90.00 beta=90.00 gamma=90.00
With the nearest neighbours (Å) after each atom.
Element x y z (fractional)
W (0.0000, 0.0000, 0.0000)  2 Cr 2.31
La (0.5000, 0.0000, 0.0000)  2 W 2.74
Ru (0.5000, 0.5000, 0.5000)  8 La 3.59, 4 Cr 3.88
La (0.0000, 0.0000, 0.5000)  2 W 2.74
Cr (0.0000, 0.5000, 0.0000)  2 W 2.31

=====

Entry 3:
VASP calculation (PBE) on a relaxed LaInRu crystal.

Computed properties:
space group: P-6m2
DOS at the Fermi energy: 1.004 states/eV per atom
E_form: -0.14 eV/atom
volume: 24.77 Å³ per atom

Unit cell a=4.6758 b=4.6758 c=3.9243 alpha=90.00 beta=90.00 gamma=120.00
With the nearest neighbours (Å) after each atom.
Element x y z (fractional)
Ru (0.3333, 0.6667, 0.8330)  3 In 2.70
La (0.6667, 0.3333, 0.3335)  6 Ru 3.34, 6 In 3.34
In (0.0000, 0.0000, 0.8335)  3 Ru 2.70

=====

Entry 4:
VASP calculation (PBE) on a relaxed FeAgBr6 crystal.

Computed properties:
space group: P-1
DOS at the Fermi energy: 0.383 states/eV per atom
volume: 33.87 Å³ per atom
formation energy (no corrections): -0.22 eV/atom

Unit cell a=5.9488 b=8.4647 c=7.8386 alpha=50.81 beta=65.95 gamma=64.54
With the nearest neighbours (Å) after each atom.
Element x y z (fractional)
Ag (0.5000, 0.5000, 0.5000)  4 Br 2.54-2.57
Br (0.8805, 0.6495, 0.1998)  1 Ag 2.57, 1 Fe 2.61
Br (0.8227, 0.1479, 0.6517)  1 Ag 2.54, 1 Fe 2.65
Br (0.1195, 0.3505, 0.8002)  1 Ag 2.57, 1 Fe 2.61
Br (0.1773, 0.8521, 0.3483)  1 Ag 2.54, 1 Fe 2.65
Br (0.6249, 0.1610, 0.1527)  1 Fe 2.35
Br (0.3751, 0.8390, 0.8473)  1 Fe 2.35
Fe (0.0000, 0.0000, 0.0000)  4 Br 2.35-2.61

=====

Entry 5:
VASP calculation (PBE) on a relaxed Zn5Ir3 crystal.

Computed properties:
space group: Cmmm
DOS at the Fermi energy: 0.448 states/eV per atom
E_form: -0.18 eV/atom
volume: 14.15 Å³ per atom
energy above the lowest structure with this stoichiometry: 0.00 eV per formula unit

Unit cell a=5.3016 b=5.3016 c=4.0307 alpha=90.00 beta=90.00 gamma=88.27
With the nearest neighbours (Å) after each atom.
Element x y z (fractional)
Zn (0.7236, 0.2764, 0.5000)  6 Ir 2.61-2.70, 6 Zn 2.78-2.87
Zn (0.2764, 0.7236, 0.5000)  6 Ir 2.61-2.70, 6 Zn 2.78-2.87
Ir (0.2195, 0.2195, 0.5000)  10 Zn 2.62-2.74
Zn (0.5000, 0.0000, 0.0000)  6 Zn 2.65-2.78, 6 Ir 2.65-2.74
Zn (0.0000, 0.0000, 0.0000)  4 Ir 2.62, 8 Zn 2.65-2.87
Ir (0.5000, 0.5000, 0.0000)  8 Zn 2.61-2.65
Ir (0.7805, 0.7805, 0.5000)  10 Zn 2.62-2.74
Zn (0.0000, 0.5000, 0.0000)  6 Ir 2.65-2.74, 6 Zn 2.65-2.78

=====

Entry 6:
VASP calculation (PBE) on a relaxed Y2Cd3Pd4 crystal.

Computed properties:
space group: C2/m
DOS at the Fermi energy: 0.436 states/eV per atom
E_form: -0.63 eV/atom
volume: 19.61 Å³ per atom
energy above the lowest structure with this stoichiometry: 0.00 eV per formula unit

Unit cell a=4.5143 b=4.9407 c=9.0012 alpha=82.24 beta=89.98 gamma=62.82
With the nearest neighbours (Å) after each atom.
Element x y z (fractional)
Y (0.3262, 0.3480, 0.7832)  7 Pd 2.91-3.01, 5 Cd 3.18-3.22
Pd (0.0121, 0.9751, 0.3391)  6 Cd 2.89-3.20, 1 Pd 2.94, 3 Y 2.97-3.01
Cd (0.3421, 0.3150, 0.4311)  3 Cd 2.86-3.15, 6 Pd 2.89-3.20, 3 Y 3.18-3.19
Pd (0.3374, 0.3250, 0.1080)  4 Cd 2.90-2.98, 4 Y 2.91-2.97, 2 Pd 3.21
Cd (0.6579, 0.6850, 0.5689)  3 Cd 2.86-3.15, 6 Pd 2.89-3.20, 3 Y 3.18-3.19
Cd (0.0000, 0.0000, 0.0000)  8 Pd 2.92-3.04, 4 Y 3.22
Pd (0.9879, 0.0249, 0.6609)  6 Cd 2.89-3.20, 1 Pd 2.94, 3 Y 2.97-3.01
Pd (0.6626, 0.6750, 0.8920)  4 Cd 2.90-2.98, 4 Y 2.91-2.97, 2 Pd 3.21
Y (0.6738, 0.6520, 0.2168)  7 Pd 2.91-3.01, 5 Cd 3.18-3.22

=====

Entry 7:
VASP calculation (PBE) on a relaxed MgS crystal.

Computed properties:
space group: I-43m
DOS at the Fermi energy: 0.000 states/eV per atom
volume: 28.98 Å³ per atom
formation energy (no corrections): -1.32 eV/atom

Unit cell a=7.7404 b=7.7404 c=7.7404 alpha=90.00 beta=90.00 gamma=90.00
With the nearest neighbours (Å) after each atom.
Element x y z (fractional)
S (0.8322, 0.8322, 0.8322)  4 Mg 2.40-2.49
Mg (0.8469, 0.1531, 0.8469)  4 S 2.40-2.49
Mg (0.6531, 0.6531, 0.6531)  4 S 2.40-2.49
Mg (0.6531, 0.3469, 0.3469)  4 S 2.40-2.49
S (0.1678, 0.8322, 0.1678)  4 Mg 2.40-2.49
S (0.8322, 0.1678, 0.1678)  4 Mg 2.40-2.49
S (0.6678, 0.6678, 0.3322)  4 Mg 2.40-2.49
Mg (0.3469, 0.3469, 0.6531)  4 S 2.40-2.49
S (0.1678, 0.1678, 0.8322)  4 Mg 2.40-2.49
S (0.3322, 0.3322, 0.3322)  4 Mg 2.40-2.49
Mg (0.3469, 0.6531, 0.3469)  4 S 2.40-2.49
Mg (0.8469, 0.8469, 0.1531)  4 S 2.40-2.49
Mg (0.1531, 0.1531, 0.1531)  4 S 2.40-2.49
Mg (0.1531, 0.8469, 0.8469)  4 S 2.40-2.49
S (0.3322, 0.6678, 0.6678)  4 Mg 2.40-2.49
S (0.6678, 0.3322, 0.6678)  4 Mg 2.40-2.49

=====

Entry 8:
VASP calculation (PBE) on a relaxed Ho9Er2Mg crystal.

Computed properties:
space group: P4/mmm
DOS at the Fermi energy: 1.370 states/eV per atom
E_form: 0.02 eV/atom
volume: 30.33 Å³ per atom

Unit cell a=4.9424 b=4.9424 c=14.9006 alpha=90.00 beta=90.00 gamma=90.00
With the nearest neighbours (Å) after each atom.
Element x y z (fractional)
Ho (0.5000, 0.0000, 0.5000)  8 Ho 3.49-3.54, 4 Er 3.52
Ho (0.0000, 0.5000, 0.5000)  8 Ho 3.49-3.54, 4 Er 3.52
Ho (0.5000, 0.0000, 0.1650)  8 Ho 3.48-3.49, 2 Mg 3.49, 2 Er 3.51
Ho (0.5000, 0.5000, 0.3296)  8 Ho 3.48-3.54, 4 Er 3.50
Ho (0.5000, 0.5000, 0.0000)  8 Ho 3.49, 4 Mg 3.49
Er (0.0000, 0.0000, 0.6679)  12 Ho 3.50-3.52
Mg (0.0000, 0.0000, 0.0000)  12 Ho 3.49
Ho (0.5000, 0.5000, 0.6704)  8 Ho 3.48-3.54, 4 Er 3.50
Er (0.0000, 0.0000, 0.3321)  12 Ho 3.50-3.52
Ho (0.5000, 0.0000, 0.8350)  8 Ho 3.48-3.49, 2 Mg 3.49, 2 Er 3.51
Ho (0.0000, 0.5000, 0.1650)  8 Ho 3.48-3.49, 2 Mg 3.49, 2 Er 3.51
Ho (0.0000, 0.5000, 0.8350)  8 Ho 3.48-3.49, 2 Mg 3.49, 2 Er 3.51

=====

Entry 9:
VASP calculation (PBE) on a relaxed La4Cd3Pt crystal.

Computed properties:
space group: P4/mmm
DOS at the Fermi energy: 1.114 states/eV per atom
E_form: -0.52 eV/atom
volume: 28.89 Å³ per atom

Unit cell a=3.8391 b=3.8391 c=15.6793 alpha=90.00 beta=90.00 gamma=90.00
With the nearest neighbours (Å) after each atom.
Element x y z (fractional)
La (0.0000, 0.0000, 0.1061)  4 Pt 3.18, 1 La 3.33, 4 Cd 3.46
La (0.0000, 0.0000, 0.6296)  8 Cd 3.37-3.39
Cd (0.5000, 0.5000, 0.5000)  8 La 3.39
La (0.0000, 0.0000, 0.8939)  4 Pt 3.18, 1 La 3.33, 4 Cd 3.46
Cd (0.5000, 0.5000, 0.7569)  8 La 3.37-3.46
Cd (0.5000, 0.5000, 0.2431)  8 La 3.37-3.46
La (0.0000, 0.0000, 0.3704)  8 Cd 3.37-3.39
Pt (0.5000, 0.5000, 0.0000)  8 La 3.18

=====

Entry 10:
VASP calculation (PBE) on a relaxed Li2TaOs crystal.

Computed properties:
space group: I4/mmm
DOS at the Fermi energy: 0.584 states/eV per atom
E_form: 0.17 eV/atom
volume: 15.35 Å³ per atom
energy above the lowest structure with this stoichiometry: 0.16 eV per formula unit

Unit cell a=5.2930 b=5.2930 c=5.2930 alpha=139.73 beta=139.73 gamma=58.26
With the nearest neighbours (Å) after each atom.
Element x y z (fractional)
Ta (0.7500, 0.2500, 0.5000)  4 Os 2.58
Os (0.2500, 0.7500, 0.5000)  4 Ta 2.58
Li (0.5000, 0.5000, 0.0000)  4 Li 2.58
Li (0.0000, 0.0000, 0.0000)  4 Li 2.58

=====

Entry 11:
VASP calculation (PBE) on a relaxed EuAl2Cu crystal.

Computed properties:
space group: R-3m
DOS at the Fermi energy: 0.729 states/eV per atom
E_form: 0.13 eV/atom
volume: 20.00 Å³ per atom

Unit cell a=3.1536 b=3.1536 c=9.4645 alpha=80.41 beta=80.41 gamma=60.00
With the nearest neighbours (Å) after each atom.
Element x y z (fractional)
Al (0.7336, 0.7336, 0.7992)  3 Cu 2.61
Cu (0.0000, 0.0000, 0.0000)  6 Al 2.61
Eu (0.5000, 0.5000, 0.5000)  6 Eu 3.15, 6 Al 3.32
Al (0.2664, 0.2664, 0.2008)  3 Cu 2.61

=====

Entry 12:
VASP calculation (PBE) on a relaxed RbNaSr2Zn crystal.

Computed properties:
space group: P4/mmm
DOS at the Fermi energy: 0.654 states/eV per atom
E_form: 0.10 eV/atom
volume: 53.44 Å³ per atom
energy above the lowest structure with this stoichiometry: 0.17 eV per formula unit

Unit cell a=6.2861 b=6.2861 c=6.7624 alpha=90.00 beta=90.00 gamma=90.00
With the nearest neighbours (Å) after each atom.
Element x y z (fractional)
Na (0.5000, 0.5000, 0.5000)  4 Rb 4.44, 8 Sr 4.62
Sr (0.0000, 0.5000, 0.0000)  2 Zn 3.14
Rb (0.0000, 0.0000, 0.5000)  2 Zn 3.38
Sr (0.5000, 0.0000, 0.0000)  2 Zn 3.14
Zn (0.0000, 0.0000, 0.0000)  4 Sr 3.14, 2 Rb 3.38